1.
Below is a relaxed CaYZnCu crystal, with properties calculated at the GGA-PBE level.

a = 3.576 Å, b = 3.576 Å, c = 7.163 Å
α = 90.00°, β = 90.00°, γ = 90.00°
Fractional coordinates of all 4 atoms:
Cu 0.500 0.500 0.633
Zn 0.500 0.500 0.087
Y 0.000 0.000 0.847
Ca 0.000 0.000 0.362

Properties
- E_tot: -3.684 eV per atom
- SG: P4mm (99)


2.
Below is a relaxed Ca2Zn2Cu crystal, with properties calculated at the GGA-PBE level.

a = 6.997 Å, b = 6.997 Å, c = 4.658 Å
α = 90.00°, β = 90.00°, γ = 90.00°
Fractional coordinates of all 10 atoms:
Cu 0.500 0.500 0.000
Cu 0.000 0.000 0.000
Zn 0.871 0.629 0.000
Zn 0.371 0.871 0.000
Zn 0.629 0.129 0.000
Zn 0.129 0.371 0.000
Ca 0.820 0.320 0.500
Ca 0.320 0.180 0.500
Ca 0.680 0.820 0.500
Ca 0.180 0.680 0.500

Properties
- E_tot: -2.241 eV per atom
- SG: P4/mbm (127)


Number 1: magnetic moment 0.00 μB/f.u.. Number 2: magnetic moment 0.00 μB/f.u..